Entry 1:
# Ta5Ni24, relaxed, DFT PBEsol
data_Ta5Ni24
_chemical_formula_sum 'Ta5 Ni24'
_cell_length_a 7.5622
_cell_length_b 7.5622
_cell_length_c 7.5622
_cell_angle_alpha 109.47
_cell_angle_beta 109.47
_cell_angle_gamma 109.47
_space_group_name_H-M_alt 'P 1'
_space_group_IT_number 1
loop_
_space_group_symop_operation_xyz
'x,y,z'
loop_
_atom_site_label
_atom_site_type_symbol
_atom_site_fract_x
_atom_site_fract_y
_atom_site_fract_z
_atom_site_occupancy
Ni1 Ni 0.8164 0.1889 0.1889 1
Ta1 Ta 0.0000 0.0000 0.3865 1
Ni2 Ni 0.6275 0.8111 0.0000 1
Ta2 Ta 0.3865 0.0000 0.0000 1
Ta3 Ta 0.0000 0.0000 0.0000 1
Ni3 Ni 0.3229 0.0000 0.5953 1
Ni4 Ni 0.6275 0.0000 0.8111 1
Ni5 Ni 0.6771 0.6771 0.2724 1
Ni6 Ni 0.0000 0.3229 0.5953 1
Ni7 Ni 0.1889 0.8164 0.1889 1
Ni8 Ni 0.6771 0.2724 0.6771 1
Ni9 Ni 0.3725 0.3725 0.1836 1
Ni10 Ni 0.8111 0.0000 0.6275 1
Ni11 Ni 0.5953 0.0000 0.3229 1
Ni12 Ni 0.4047 0.4047 0.7276 1
Ni13 Ni 0.1836 0.3725 0.3725 1
Ni14 Ni 0.0000 0.8111 0.6275 1
Ni15 Ni 0.1889 0.1889 0.8164 1
Ni16 Ni 0.5953 0.3229 0.0000 1
Ta4 Ta 0.0000 0.3865 0.0000 1
Ni17 Ni 0.7276 0.4047 0.4047 1
Ni18 Ni 0.0000 0.6275 0.8111 1
Ni19 Ni 0.2724 0.6771 0.6771 1
Ni20 Ni 0.0000 0.5953 0.3229 1
Ni21 Ni 0.3725 0.1836 0.3725 1
Ni22 Ni 0.3229 0.5953 0.0000 1
Ni23 Ni 0.8111 0.6275 0.0000 1
Ta5 Ta 0.6135 0.6135 0.6135 1
Ni24 Ni 0.4047 0.7276 0.4047 1
# Symmetry: No. 217
# Formation energy in eV per atom: -0.179

Entry 2:
# Gd3B7W, relaxed, DFT PBEsol
data_Gd3B7W
_chemical_formula_sum 'Gd6 B14 W2'
_cell_length_a 3.4459
_cell_length_b 8.2001
_cell_length_c 9.4653
_cell_angle_alpha 90.00
_cell_angle_beta 90.00
_cell_angle_gamma 102.13
_space_group_name_H-M_alt 'P 1'
_space_group_IT_number 1
loop_
_space_group_symop_operation_xyz
'x,y,z'
loop_
_atom_site_label
_atom_site_type_symbol
_atom_site_fract_x
_atom_site_fract_y
_atom_site_fract_z
_atom_site_occupancy
Gd1 Gd 0.1066 0.2131 0.0617 1
B1 B 0.2728 0.5456 0.0313 1
B2 B 0.2728 0.5456 0.4687 1
B3 B 0.5209 0.0417 0.9080 1
B4 B 0.6353 0.2705 0.8525 1
B5 B 0.4583 0.9167 0.7500 1
B6 B 0.6353 0.2705 0.6475 1
W1 W 0.9457 0.8913 0.2500 1
B7 B 0.7272 0.4544 0.5313 1
B8 B 0.5209 0.0417 0.5920 1
B9 B 0.3647 0.7295 0.1475 1
Gd2 Gd 0.8934 0.7869 0.9383 1
Gd3 Gd 0.7553 0.5105 0.2500 1
B10 B 0.7272 0.4544 0.9687 1
B11 B 0.4791 0.9583 0.4080 1
B12 B 0.4791 0.9583 0.0920 1
B13 B 0.5417 0.0833 0.2500 1
W2 W 0.0543 0.1087 0.7500 1
Gd4 Gd 0.8934 0.7869 0.5617 1
B14 B 0.3647 0.7295 0.3525 1
Gd5 Gd 0.2447 0.4895 0.7500 1
Gd6 Gd 0.1066 0.2131 0.4383 1
# Symmetry: No. 63
# Formation energy in eV per atom: -0.603

Entry 3:
# Ni6MoAu, relaxed, DFT PBEsol
data_Ni6MoAu
_chemical_formula_sum 'Ni24 Mo4 Au4'
_cell_length_a 6.2373
_cell_length_b 6.2373
_cell_length_c 10.2201
_cell_angle_alpha 90.00
_cell_angle_beta 90.00
_cell_angle_gamma 109.46
_space_group_name_H-M_alt 'P 1'
_space_group_IT_number 1
loop_
_space_group_symop_operation_xyz
'x,y,z'
loop_
_atom_site_label
_atom_site_type_symbol
_atom_site_fract_x
_atom_site_fract_y
_atom_site_fract_z
_atom_site_occupancy
Ni1 Ni 0.6188 0.8724 0.1207 1
Ni2 Ni 0.3811 0.1350 0.3701 1
Ni3 Ni 0.8650 0.6189 0.3701 1
Ni4 Ni 0.8650 0.6189 0.6299 1
Ni5 Ni 0.0000 0.0000 0.5000 1
Ni6 Ni 0.5000 0.5000 0.5000 1
Ni7 Ni 0.6188 0.8724 0.8793 1
Ni8 Ni 0.0000 0.0000 0.0000 1
Ni9 Ni 0.1350 0.3811 0.3701 1
Ni10 Ni 0.8724 0.6188 0.8793 1
Au1 Au 0.0000 0.0000 0.7501 1
Ni11 Ni 0.3812 0.1276 0.8793 1
Mo1 Mo 0.5000 0.5000 0.7448 1
Ni12 Ni 0.2537 0.7463 0.2425 1
Ni13 Ni 0.5000 0.5000 0.0000 1
Ni14 Ni 0.6189 0.8650 0.3701 1
Ni15 Ni 0.1276 0.3812 0.8793 1
Au2 Au 0.2462 0.7538 0.5000 1
Ni16 Ni 0.6189 0.8650 0.6299 1
Ni17 Ni 0.2537 0.7463 0.7575 1
Au3 Au 0.0000 0.0000 0.2499 1
Ni18 Ni 0.1276 0.3812 0.1207 1
Au4 Au 0.7538 0.2462 0.5000 1
Ni19 Ni 0.7463 0.2537 0.2425 1
Ni20 Ni 0.3811 0.1350 0.6299 1
Ni21 Ni 0.7463 0.2537 0.7575 1
Mo2 Mo 0.5000 0.5000 0.2552 1
Ni22 Ni 0.1350 0.3811 0.6299 1
Mo3 Mo 0.2540 0.7460 0.0000 1
Ni23 Ni 0.8724 0.6188 0.1207 1
Ni24 Ni 0.3812 0.1276 0.1207 1
Mo4 Mo 0.7460 0.2540 0.0000 1
# Symmetry: No. 65
# Formation energy in eV per atom: -0.022

Entry 4:
# Na2ScCdS, relaxed, DFT PBEsol
data_Na2ScCdS
_chemical_formula_sum 'Na2 Sc1 Cd1 S1'
_cell_length_a 4.8824
_cell_length_b 5.1347
_cell_length_c 5.1347
_cell_angle_alpha 90.00
_cell_angle_beta 90.00
_cell_angle_gamma 90.00
_space_group_name_H-M_alt 'P 1'
_space_group_IT_number 1
loop_
_space_group_symop_operation_xyz
'x,y,z'
loop_
_atom_site_label
_atom_site_type_symbol
_atom_site_fract_x
_atom_site_fract_y
_atom_site_fract_z
_atom_site_occupancy
Na1 Na 0.0000 0.0000 0.5000 1
Na2 Na 0.0000 0.5000 0.0000 1
S1 S 0.0000 0.0000 0.0000 1
Sc1 Sc 0.5000 0.0000 0.0000 1
Cd1 Cd 0.5000 0.5000 0.5000 1
# Symmetry: No. 123
# Uncorrected formation energy in eV per atom: -0.425

Entry 5:
# AlCo3W, relaxed, DFT PBEsol
data_AlCo3W
_chemical_formula_sum 'Al1 Co3 W1'
_cell_length_a 4.0684
_cell_length_b 4.0684
_cell_length_c 4.0684
_cell_angle_alpha 90.00
_cell_angle_beta 90.00
_cell_angle_gamma 90.00
_space_group_name_H-M_alt 'P 1'
_space_group_IT_number 1
loop_
_space_group_symop_operation_xyz
'x,y,z'
loop_
_atom_site_label
_atom_site_type_symbol
_atom_site_fract_x
_atom_site_fract_y
_atom_site_fract_z
_atom_site_occupancy
Co1 Co 0.0000 0.5000 0.0000 1
Co2 Co 0.0000 0.0000 0.5000 1
Co3 Co 0.5000 0.0000 0.0000 1
W1 W 0.5000 0.5000 0.5000 1
Al1 Al 0.0000 0.0000 0.0000 1
# Symmetry: No. 221
# Formation energy in eV per atom: 1.219

Entry 6:
# Y2ScPb, relaxed, DFT PBEsol
data_Y2ScPb
_chemical_formula_sum 'Y2 Sc1 Pb1'
_cell_length_a 4.5352
_cell_length_b 4.5352
_cell_length_c 5.9838
_cell_angle_alpha 112.27
_cell_angle_beta 112.27
_cell_angle_gamma 90.00
_space_group_name_H-M_alt 'P 1'
_space_group_IT_number 1
loop_
_space_group_symop_operation_xyz
'x,y,z'
loop_
_atom_site_label
_atom_site_type_symbol
_atom_site_fract_x
_atom_site_fract_y
_atom_site_fract_z
_atom_site_occupancy
Sc1 Sc 0.5000 0.5000 0.0000 1
Y1 Y 0.7500 0.2500 0.5000 1
Y2 Y 0.2500 0.7500 0.5000 1
Pb1 Pb 0.0000 0.0000 0.0000 1
# Symmetry: No. 139
# Formation energy in eV per atom: -0.310

Entry 7:
# Mg2CuAs, relaxed, DFT PBEsol
data_Mg2CuAs
_chemical_formula_sum 'Mg2 Cu1 As1'
_cell_length_a 3.0824
_cell_length_b 3.0824
_cell_length_c 8.6523
_cell_angle_alpha 79.74
_cell_angle_beta 79.74
_cell_angle_gamma 60.00
_space_group_name_H-M_alt 'P 1'
_space_group_IT_number 1
loop_
_space_group_symop_operation_xyz
'x,y,z'
loop_
_atom_site_label
_atom_site_type_symbol
_atom_site_fract_x
_atom_site_fract_y
_atom_site_fract_z
_atom_site_occupancy
Cu1 Cu 0.0000 0.0000 0.0000 1
Mg1 Mg 0.7450 0.7450 0.7650 1
Mg2 Mg 0.2550 0.2550 0.2350 1
As1 As 0.5000 0.5000 0.5000 1
# Symmetry: No. 166
# Formation energy in eV per atom: -0.001

Entry 8:
# YNiAu2, relaxed, DFT PBEsol
data_YNiAu2
_chemical_formula_sum 'Y1 Ni1 Au2'
_cell_length_a 3.5269
_cell_length_b 3.5269
_cell_length_c 5.6954
_cell_angle_alpha 90.00
_cell_angle_beta 90.00
_cell_angle_gamma 90.00
_space_group_name_H-M_alt 'P 1'
_space_group_IT_number 1
loop_
_space_group_symop_operation_xyz
'x,y,z'
loop_
_atom_site_label
_atom_site_type_symbol
_atom_site_fract_x
_atom_site_fract_y
_atom_site_fract_z
_atom_site_occupancy
Ni1 Ni 0.0000 0.0000 0.4776 1
Au1 Au 0.5000 0.5000 0.2641 1
Au2 Au 0.0000 0.0000 0.0162 1
Y1 Y 0.5000 0.5000 0.7421 1
# Symmetry: No. 99
# Formation energy in eV per atom: -0.430

Entry 9:
# CdRuIN2, relaxed, DFT PBEsol
data_CdRuIN2
_chemical_formula_sum 'Cd1 Ru1 I1 N2'
_cell_length_a 4.0709
_cell_length_b 4.0709
_cell_length_c 4.9884
_cell_angle_alpha 90.00
_cell_angle_beta 90.00
_cell_angle_gamma 90.00
_space_group_name_H-M_alt 'P 1'
_space_group_IT_number 1
loop_
_space_group_symop_operation_xyz
'x,y,z'
loop_
_atom_site_label
_atom_site_type_symbol
_atom_site_fract_x
_atom_site_fract_y
_atom_site_fract_z
_atom_site_occupancy
Ru1 Ru 0.0000 0.0000 0.5000 1
Cd1 Cd 0.5000 0.5000 0.5000 1
N1 N 0.5000 0.0000 0.0000 1
I1 I 0.0000 0.0000 0.0000 1
N2 N 0.0000 0.5000 0.0000 1
# Symmetry: No. 123
# Uncorrected formation energy in eV per atom: 2.005

Entry 10:
# Sc2TaTc, relaxed, DFT PBEsol
data_Sc2TaTc
_chemical_formula_sum 'Sc2 Ta1 Tc1'
_cell_length_a 3.1933
_cell_length_b 3.1933
_cell_length_c 7.4919
_cell_angle_alpha 90.00
_cell_angle_beta 90.00
_cell_angle_gamma 90.00
_space_group_name_H-M_alt 'P 1'
_space_group_IT_number 1
loop_
_space_group_symop_operation_xyz
'x,y,z'
loop_
_atom_site_label
_atom_site_type_symbol
_atom_site_fract_x
_atom_site_fract_y
_atom_site_fract_z
_atom_site_occupancy
Sc1 Sc 0.0000 0.0000 0.9462 1
Tc1 Tc 0.5000 0.5000 0.7301 1
Ta1 Ta 0.0000 0.0000 0.5386 1
Sc2 Sc 0.5000 0.5000 0.2850 1
# Symmetry: No. 99
# Energy above the most stable polymorph in this dataset in meV per atom: 0
# Formation energy in eV per atom: -0.163

| no. | E (eV per atom) |
| --- | --- |
| 1 | -7.44 |
| 2 | -10.26 |
| 3 | -6.60 |
| 4 | -3.42 |
| 5 | -7.00 |
| 6 | -6.37 |
| 7 | -3.22 |
| 8 | -5.64 |
| 9 | -4.03 |
| 10 | -9.42 |